DFT (PBE) results for a relaxed structure of CaH.

## Properties
M_tot: 0.09 μB per formula unit
DOS at the Fermi energy: 1.40 states/eV per cell
Electronic total energy: -3.066 eV/atom

Cell and atoms, written as extended XYZ:
```
4
Lattice="3.794 0.000 0.000 -1.897 3.286 0.000 0.000 0.000 6.387" Properties=species:S:1:pos:R:3 pbc="T T T"
Ca 0.000 2.191 1.508
Ca 1.897 1.095 4.879
H 0.000 2.191 5.601
H 1.897 1.095 0.786
```